i | A crystal of SrReRh relaxed with PBEsol, computed with meta-GGA SCAN.

The structure in POSCAR format:
```
SrReRh
1.0
4.7574 0.0000 0.0000
-2.3787 4.1201 0.0000
0.0000 0.0000 2.8079
Sr Re Rh
1 1 1
direct
0.0000 0.0000 0.0000 Sr
0.3333 0.6667 0.5000 Re
0.6667 0.3333 0.5000 Rh
```

Calculated values
As for the space-group type: P-6m2, No. 187. The volume comes out at 55.0 Å³/cell.

***

ii | A crystal of SrReRh relaxed with PBEsol, computed with meta-GGA SCAN.

The structure in POSCAR format:
```
SrReRh
1.0
2.8859 0.0000 0.0000
-1.4430 2.4993 0.0000
0.0000 0.0000 7.4702
Sr Re Rh
1 1 1
direct
0.0000 0.0000 0.0000 Sr
0.6667 0.3333 0.6261 Re
0.3333 0.6667 0.3598 Rh
```

Calculated values
As for the space-group type: P3m1, No. 156. The volume comes out at 53.9 Å³/cell.

***

The structure with the greatest stability is i.

***

i | A crystal of TaRe2Rh relaxed with PBEsol, computed with meta-GGA SCAN.

The structure in POSCAR format:
```
TaRe2Rh
1.0
-1.9253 1.9253 4.0500
1.9253 -1.9253 4.0500
1.9253 1.9253 -4.0500
Ta Re Rh
1 2 1
direct
0.0000 0.0000 0.0000 Ta
0.2500 0.7500 0.5000 Re
0.7500 0.2500 0.5000 Re
0.5000 0.5000 0.0000 Rh
```

Calculated values
As for the space-group type: I4/mmm, No. 139. The volume comes out at 60.0 Å³/cell.

***

ii | A crystal of TaRe2Rh relaxed with PBEsol, computed with meta-GGA SCAN.

The structure in POSCAR format:
```
TaRe2Rh
1.0
0.0000 3.1176 3.1176
3.1176 0.0000 3.1176
3.1176 3.1176 0.0000
Ta Re Rh
1 2 1
direct
0.0000 0.0000 0.0000 Ta
0.5000 0.5000 0.5000 Re
0.7500 0.7500 0.7500 Re
0.2500 0.2500 0.2500 Rh
```

Calculated values
As for the space-group type: F-43m, No. 216. The volume comes out at 60.6 Å³/cell.

***

The structure with the greatest stability is i.